A geometry-optimized PaI2F structure, computed with PBE.

Energy above the lowest structure with this stoichiometry, meV per atom: 15
Space-group type: Immm
Energy relative to the elements, uncorrected, eV per atom: -1.740
Calculated density, g cm⁻³: 5.4

```
PaI2F
1.0
-2.022 2.302 8.394
2.022 -2.302 8.394
2.022 2.302 -8.394
Pa I F
1 2 1
Direct
0.000 0.000 0.000 Pa
0.141 0.641 0.500 I
0.859 0.359 0.500 I
0.500 0.000 0.500 F
```



A geometry-optimized KRbTc2 structure, computed with PBE.

Energy above the lowest structure with this stoichiometry, meV per atom: 0
Space-group type: I-42d
Calculated density, g cm⁻³: 4.4
Formation enthalpy at 0 K, eV/atom: 2.0476

```
KRbTc2
1.0
-4.779 4.779 2.678
4.779 -4.779 2.678
4.779 4.779 -2.678
K Rb Tc
2 2 4
Direct
0.000 0.000 0.000 K
0.750 0.250 0.500 K
0.250 0.750 0.500 Rb
0.500 0.500 0.000 Rb
0.123 0.625 0.998 Tc
0.375 0.373 0.498 Tc
0.627 0.125 0.002 Tc
0.875 0.877 0.502 Tc
```



A geometry-optimized GdMnGa2 structure, computed with PBE.

Energy above the lowest structure with this stoichiometry, meV per atom: 0
Space-group type: P4/mmm
Calculated density, g cm⁻³: 7.9
Formation enthalpy at 0 K, eV/atom: -0.2792

```
GdMnGa2
1.0
3.327 0.000 0.000
0.000 3.327 0.000
0.000 0.000 6.704
Gd Mn Ga
1 1 2
Direct
0.000 0.000 0.000 Gd
0.000 0.000 0.500 Mn
0.500 0.500 0.303 Ga
0.500 0.500 0.697 Ga
```



A geometry-optimized Ag2BH structure, computed with PBE.

Energy above the lowest structure with this stoichiometry, meV per atom: 224
Space-group type: Fm-3m
Calculated density, g cm⁻³: 8.0

```
Ag2BH
1.0
0.000 2.867 2.867
2.867 0.000 2.867
2.867 2.867 0.000
Ag B H
2 1 1
Direct
0.250 0.250 0.250 Ag
0.750 0.750 0.750 Ag
0.000 0.000 0.000 B
0.500 0.500 0.500 H
```



A geometry-optimized MgCdSn6 structure, computed with PBE.

Space-group type: P4/mmm
Calculated density, g cm⁻³: 6.7
Formation enthalpy at 0 K, eV/atom: 0.0287

```
MgCdSn6
1.0
4.564 0.000 0.000
0.000 4.564 0.000
0.000 0.000 10.169
Mg Cd Sn
1 1 6
Direct
0.000 0.000 0.000 Mg
0.000 0.000 0.500 Cd
0.000 0.500 0.244 Sn
0.000 0.500 0.756 Sn
0.500 0.000 0.244 Sn
0.500 0.000 0.756 Sn
0.500 0.500 0.000 Sn
0.500 0.500 0.500 Sn
```



A geometry-optimized SrPa2As4 structure, computed with PBE.

Space-group type: I-42d
Calculated density, g cm⁻³: 8.4
Formation enthalpy at 0 K, eV/atom: -1.0103

```
SrPa2As4
1.0
-4.389 4.389 4.373
4.389 -4.389 4.373
4.389 4.389 -4.373
Sr Pa As
2 4 8
Direct
0.000 0.000 0.000 Sr
0.750 0.250 0.500 Sr
0.240 0.625 0.115 Pa
0.375 0.490 0.615 Pa
0.510 0.125 0.885 Pa
0.875 0.760 0.385 Pa
0.143 0.724 0.743 As
0.151 0.231 0.757 As
0.276 0.019 0.420 As
0.474 0.393 0.243 As
0.599 0.857 0.580 As
0.607 0.849 0.080 As
0.769 0.526 0.920 As
0.981 0.401 0.257 As
```



A geometry-optimized CsHg2OsF structure, computed with PBE.

Space-group type: P4/mmm
Energy relative to the elements, uncorrected, eV per atom: -0.016
Calculated density, g cm⁻³: 9.4

```
CsHg2OsF
1.0
5.459 0.000 0.000
0.000 5.459 0.000
0.000 0.000 4.418
Cs Hg Os F
1 2 1 1
Direct
0.000 0.000 0.000 Cs
0.000 0.500 0.500 Hg
0.500 0.000 0.500 Hg
0.500 0.500 0.500 Os
0.500 0.500 0.000 F
```



A geometry-optimized YErFeNi structure, computed with PBE.

Space-group type: F-43m
Calculated density, g cm⁻³: 8.3
Formation enthalpy at 0 K, eV/atom: -0.0883

```
YErFeNi
1.0
0.000 3.340 3.340
3.340 0.000 3.340
3.340 3.340 0.000
Y Er Fe Ni
1 1 1 1
Direct
0.000 0.000 0.000 Y
0.500 0.500 0.500 Er
0.750 0.750 0.750 Fe
0.250 0.250 0.250 Ni
```



A geometry-optimized Y2HoTl2Ag2 structure, computed with PBE.

Space-group type: R-3m
Calculated density, g cm⁻³: 8.7
Formation enthalpy at 0 K, eV/atom: -0.1734

```
Y2HoTl2Ag2
1.0
2.431 1.404 9.021
-2.431 1.404 9.021
0.000 -2.807 9.021
Y Ho Tl Ag
2 1 2 2
Direct
0.125 0.125 0.125 Y
0.875 0.875 0.875 Y
0.000 0.000 0.000 Ho
0.258 0.258 0.258 Tl
0.742 0.742 0.742 Tl
0.393 0.393 0.393 Ag
0.607 0.607 0.607 Ag
```



A geometry-optimized MoBr structure, computed with PBE.

Energy above the lowest structure with this stoichiometry, meV per atom: 1375
Space-group type: F-43m
Energy relative to the elements, uncorrected, eV per atom: 1.301
Calculated density, g cm⁻³: 6.3

```
MoBr
1.0
0.000 2.851 2.851
2.851 0.000 2.851
2.851 2.851 0.000
Mo Br
1 1
Direct
0.000 0.000 0.000 Mo
0.250 0.250 0.250 Br
```



A geometry-optimized TbSi3Ru3 structure, computed with PBE.

Space-group type: Pm-3n
Energy relative to the elements, uncorrected, eV per atom: -0.185
Calculated density, g cm⁻³: 6.7

```
TbSi3Ru3
1.0
6.466 0.000 0.000
0.000 6.466 0.000
0.000 0.000 6.466
Tb Si Ru
2 6 6
Direct
0.000 0.000 0.000 Tb
0.500 0.500 0.500 Tb
0.000 0.250 0.500 Si
0.000 0.750 0.500 Si
0.250 0.500 0.000 Si
0.500 0.000 0.250 Si
0.500 0.000 0.750 Si
0.750 0.500 0.000 Si
0.000 0.500 0.250 Ru
0.000 0.500 0.750 Ru
0.250 0.000 0.500 Ru
0.500 0.250 0.000 Ru
0.500 0.750 0.000 Ru
0.750 0.000 0.500 Ru
```



A geometry-optimized IrRuW structure, computed with PBE.

Energy above the lowest structure with this stoichiometry, meV per atom: 209
Space-group type: P-6m2
Calculated density, g cm⁻³: 17.5
Formation enthalpy at 0 K, eV/atom: 0.0445

```
IrRuW
1.0
4.363 0.000 0.000
-2.182 3.779 0.000
0.000 0.000 2.745
Ir Ru W
1 1 1
Direct
0.000 0.000 0.000 Ir
0.667 0.333 0.500 Ru
0.333 0.667 0.500 W
```



A geometry-optimized LiMg4In5 structure, computed with PBE.

Space-group type: P4/mmm
Calculated density, g cm⁻³: 4.9
Formation enthalpy at 0 K, eV/atom: -0.1200

```
LiMg4In5
1.0
3.490 0.000 0.000
0.000 3.490 0.000
0.000 0.000 18.726
Li Mg In
1 4 5
Direct
0.000 0.000 0.000 Li
0.000 0.000 0.189 Mg
0.000 0.000 0.396 Mg
0.000 0.000 0.604 Mg
0.000 0.000 0.811 Mg
0.500 0.500 0.089 In
0.500 0.500 0.292 In
0.500 0.500 0.500 In
0.500 0.500 0.708 In
0.500 0.500 0.911 In
```



A geometry-optimized CaSm2OsC2 structure, computed with PBE.

Space-group type: Pnnm
Calculated density, g cm⁻³: 7.4
Formation enthalpy at 0 K, eV/atom: 0.0096

```
CaSm2OsC2
1.0
5.795 0.000 0.000
0.000 10.827 0.000
0.000 0.000 3.997
Ca Sm Os C
2 4 2 4
Direct
0.000 0.000 0.000 Ca
0.500 0.500 0.500 Ca
0.046 0.298 0.500 Sm
0.454 0.798 0.000 Sm
0.546 0.202 0.000 Sm
0.954 0.702 0.500 Sm
0.000 0.500 0.000 Os
0.500 0.000 0.500 Os
0.243 0.882 0.500 C
0.257 0.382 0.000 C
0.743 0.618 0.000 C
0.757 0.118 0.500 C
```



A geometry-optimized K2TaRh structure, computed with PBE.

Energy above the lowest structure with this stoichiometry, meV per atom: 0
Space-group type: Pm
Calculated density, g cm⁻³: 4.8
Formation enthalpy at 0 K, eV/atom: 0.3917

```
K2TaRh
1.0
3.275 0.000 0.000
0.000 3.544 0.000
-0.044 0.000 10.895
K Ta Rh
2 1 1
Direct
0.000 0.000 0.000 K
0.488 0.500 0.401 K
0.992 0.000 0.672 Ta
0.493 0.500 0.761 Rh
```



A geometry-optimized Al2AgSnB structure, computed with PBE.

Space-group type: P4/mmm
Calculated density, g cm⁻³: 3.3
Formation enthalpy at 0 K, eV/atom: 1.6322

```
Al2AgSnB
1.0
5.320 0.000 0.000
0.000 5.320 0.000
0.000 0.000 5.148
Al Ag Sn B
2 1 1 1
Direct
0.000 0.500 0.000 Al
0.500 0.000 0.000 Al
0.000 0.000 0.500 Ag
0.000 0.000 0.000 Sn
0.500 0.500 0.500 B
```



A geometry-optimized PrHo6In4 structure, computed with PBE.

Space-group type: P-6m2
Calculated density, g cm⁻³: 8.0
Formation enthalpy at 0 K, eV/atom: -0.2920

```
PrHo6In4
1.0
10.079 0.000 0.000
-5.039 8.728 0.000
0.000 0.000 3.729
Pr Ho In
1 6 4
Direct
0.000 0.000 0.000 Pr
0.191 0.382 0.500 Ho
0.191 0.809 0.500 Ho
0.537 0.075 0.000 Ho
0.537 0.463 0.000 Ho
0.618 0.809 0.500 Ho
0.925 0.463 0.000 Ho
0.329 0.164 0.500 In
0.333 0.667 0.000 In
0.836 0.164 0.500 In
0.836 0.671 0.500 In
```



A geometry-optimized Sb4WSe structure, computed with PBE.

Space-group type: F-43m
Energy relative to the elements, uncorrected, eV per atom: 1.158
Calculated density, g cm⁻³: 7.8

```
Sb4WSe
1.0
0.000 4.301 4.301
4.301 0.000 4.301
4.301 4.301 0.000
Sb W Se
4 1 1
Direct
0.124 0.124 0.124 Sb
0.124 0.124 0.627 Sb
0.124 0.627 0.124 Sb
0.627 0.124 0.124 Sb
0.500 0.500 0.500 W
0.750 0.750 0.750 Se
```



A geometry-optimized PrEr2Ir9 structure, computed with PBE.

Space-group type: R-3m
Calculated density, g cm⁻³: 17.0
Formation enthalpy at 0 K, eV/atom: -0.5768

```
PrEr2Ir9
1.0
2.668 1.540 8.738
-2.668 1.540 8.738
0.000 -3.081 8.738
Pr Er Ir
1 2 9
Direct
0.000 0.000 0.000 Pr
0.140 0.140 0.140 Er
0.860 0.860 0.860 Er
0.083 0.583 0.583 Ir
0.333 0.333 0.333 Ir
0.417 0.417 0.917 Ir
0.417 0.917 0.417 Ir
0.500 0.500 0.500 Ir
0.583 0.083 0.583 Ir
0.583 0.583 0.083 Ir
0.667 0.667 0.667 Ir
0.917 0.417 0.417 Ir
```



A geometry-optimized LiB4C4 structure, computed with PBE.

Energy above the lowest structure with this stoichiometry, meV per atom: 138
Space-group type: Fdd2
Calculated density, g cm⁻³: 1.8
Formation enthalpy at 0 K, eV/atom: 0.2271

```
LiB4C4
1.0
0.000 7.387 2.640
4.703 0.000 2.640
4.703 7.387 0.000
Li B C
2 8 8
Direct
0.000 0.000 0.000 Li
0.250 0.250 0.250 Li
0.254 0.817 0.516 B
0.255 0.320 0.513 B
0.320 0.255 0.913 B
0.337 0.737 0.930 B
0.734 0.837 0.996 B
0.737 0.337 0.995 B
0.817 0.254 0.413 B
0.837 0.734 0.433 B
0.000 0.576 0.265 C
0.091 0.985 0.674 C
0.093 0.484 0.675 C
0.484 0.093 0.748 C
0.502 0.575 0.766 C
0.575 0.502 0.157 C
0.576 0.000 0.159 C
0.985 0.091 0.250 C
```



A geometry-optimized Ba3TaRu structure, computed with PBE.

Energy above the lowest structure with this stoichiometry, meV per atom: 0
Space-group type: Pm-3m
Calculated density, g cm⁻³: 5.8
Formation enthalpy at 0 K, eV/atom: 1.1462

```
Ba3TaRu
1.0
5.839 0.000 0.000
0.000 5.839 0.000
0.000 0.000 5.839
Ba Ta Ru
3 1 1
Direct
0.000 0.000 0.500 Ba
0.000 0.500 0.000 Ba
0.500 0.000 0.000 Ba
0.500 0.500 0.500 Ta
0.000 0.000 0.000 Ru
```



A geometry-optimized MgCdAs2 structure, computed with PBE.

Energy above the lowest structure with this stoichiometry, meV per atom: 163
Space-group type: Fm-3m
Calculated density, g cm⁻³: 5.8
Formation enthalpy at 0 K, eV/atom: 0.0418

```
MgCdAs2
1.0
0.000 3.458 3.458
3.458 0.000 3.458
3.458 3.458 0.000
Mg Cd As
1 1 2
Direct
0.000 0.000 0.000 Mg
0.500 0.500 0.500 Cd
0.250 0.250 0.250 As
0.750 0.750 0.750 As
```



A geometry-optimized CaPb3Au8 structure, computed with PBE.

Space-group type: R3m
Calculated density, g cm⁻³: 14.0
Formation enthalpy at 0 K, eV/atom: -0.2301

```
CaPb3Au8
1.0
2.862 1.652 9.326
-2.862 1.652 9.326
0.000 -3.304 9.326
Ca Pb Au
1 3 8
Direct
0.000 0.000 0.000 Ca
0.125 0.125 0.125 Pb
0.499 0.499 0.499 Pb
0.624 0.624 0.624 Pb
0.061 0.562 0.562 Au
0.063 0.063 0.565 Au
0.063 0.565 0.063 Au
0.313 0.313 0.313 Au
0.562 0.061 0.562 Au
0.562 0.562 0.061 Au
0.565 0.063 0.063 Au
0.813 0.813 0.813 Au
```



A geometry-optimized Na2NpCoS4 structure, computed with PBE.

Space-group type: P2/m
Energy relative to the elements, uncorrected, eV per atom: -0.956
Calculated density, g cm⁻³: 5.0

```
Na2NpCoS4
1.0
6.091 0.000 0.000
0.000 3.853 0.000
-2.192 0.000 6.719
Na Np Co S
2 1 1 4
Direct
0.000 0.000 0.000 Na
0.500 0.500 0.000 Na
0.000 0.500 0.500 Np
0.500 0.000 0.500 Co
0.266 0.000 0.717 S
0.281 0.500 0.293 S
0.719 0.500 0.707 S
0.734 0.000 0.283 S
```



A geometry-optimized K3YS structure, computed with PBE.

Energy above the lowest structure with this stoichiometry, meV per atom: 0
Space-group type: Pm-3m
Energy relative to the elements, uncorrected, eV per atom: 0.005
Calculated density, g cm⁻³: 1.7

```
K3YS
1.0
6.168 0.000 0.000
0.000 6.168 0.000
0.000 0.000 6.168
K Y S
3 1 1
Direct
0.000 0.000 0.500 K
0.000 0.500 0.000 K
0.500 0.000 0.000 K
0.500 0.500 0.500 Y
0.000 0.000 0.000 S
```